(1)
This record from the Alexandria database describes crystalline Na2PuPb3S6 at its relaxed geometry. The functional is PBE.

Electronic total energy: -5.35 eV/atom
Spin magnetization: 4.00 μB per cell
Theoretical density: 6.071 Mg/m³
Symmetry: No. 12

a = 7.147 Å, b = 7.147 Å, c = 7.192 Å
α = 99.35°, β = 99.35°, γ = 119.70°
Fractional coordinates of all 12 atoms:
Na: 0.167 0.833 0.000
Na: 0.833 0.167 0.000
Pu: 0.500 0.500 0.000
Pb: 0.000 0.000 0.500
Pb: 0.335 0.665 0.500
Pb: 0.665 0.335 0.500
S: 0.116 0.422 0.772
S: 0.272 0.272 0.246
S: 0.422 0.116 0.772
S: 0.578 0.884 0.228
S: 0.728 0.728 0.754
S: 0.884 0.578 0.228

***

(2)
This record from the Alexandria database describes crystalline Na4Pu3PbSe8 at its relaxed geometry. The functional is PBE.

Electronic total energy: -6.24 eV/atom
Spin magnetization: 14.00 μB per cell
Theoretical density: 6.368 Mg/m³
Symmetry: No. 166

a = 8.482 Å, b = 8.482 Å, c = 8.482 Å
α = 60.22°, β = 60.22°, γ = 60.22°
Fractional coordinates of all 16 atoms:
Na: 0.000 0.000 0.000
Na: 0.000 0.500 0.500
Na: 0.500 0.000 0.500
Na: 0.500 0.500 0.000
Pu: 0.000 0.000 0.500
Pu: 0.000 0.500 0.000
Pu: 0.500 0.000 0.000
Pb: 0.500 0.500 0.500
Se: 0.228 0.752 0.752
Se: 0.243 0.243 0.243
Se: 0.248 0.248 0.772
Se: 0.248 0.772 0.248
Se: 0.752 0.228 0.752
Se: 0.752 0.752 0.228
Se: 0.757 0.757 0.757
Se: 0.772 0.248 0.248

***

(3)
This record from the Alexandria database describes crystalline Na2PuPbSe4 at its relaxed geometry. The functional is PBE.

Electronic total energy: -5.39 eV/atom
Spin magnetization: 3.99 μB per cell
Theoretical density: 6.130 Mg/m³
Symmetry: No. 10

a = 7.342 Å, b = 4.258 Å, c = 7.470 Å
α = 90.00°, β = 109.43°, γ = 90.00°
Fractional coordinates of all 8 atoms:
Na: 0.000 0.000 0.000
Na: 0.000 0.500 0.500
Pu: 0.500 0.000 0.500
Pb: 0.500 0.500 0.000
Se: 0.264 0.000 0.730
Se: 0.271 0.500 0.273
Se: 0.729 0.500 0.727
Se: 0.736 0.000 0.270

***

(4)
This record from the Alexandria database describes crystalline NaPu2PbSe4 at its relaxed geometry. The functional is PBE.

Electronic total energy: -7.14 eV/atom
Spin magnetization: 0.11 μB per cell
Theoretical density: 7.715 Mg/m³
Symmetry: No. 10

a = 7.413 Å, b = 4.265 Å, c = 7.465 Å
α = 90.00°, β = 109.44°, γ = 90.00°
Fractional coordinates of all 8 atoms:
Na: 0.000 0.000 0.000
Pu: 0.000 0.500 0.500
Pu: 0.500 0.000 0.500
Pb: 0.500 0.500 0.000
Se: 0.240 0.000 0.732
Se: 0.256 0.500 0.268
Se: 0.744 0.500 0.732
Se: 0.760 0.000 0.268

***

(5)
This record from the Alexandria database describes crystalline Na2PuPb3Se6 at its relaxed geometry. The functional is PBE.

Electronic total energy: -4.98 eV/atom
Spin magnetization: 4.00 μB per cell
Theoretical density: 6.791 Mg/m³
Symmetry: No. 12

a = 7.427 Å, b = 7.427 Å, c = 7.477 Å
α = 99.42°, β = 99.42°, γ = 119.70°
Fractional coordinates of all 12 atoms:
Na: 0.167 0.833 0.000
Na: 0.833 0.167 0.000
Pu: 0.500 0.500 0.000
Pb: 0.000 0.000 0.500
Pb: 0.336 0.664 0.500
Pb: 0.664 0.336 0.500
Se: 0.111 0.421 0.769
Se: 0.267 0.267 0.245
Se: 0.421 0.111 0.769
Se: 0.579 0.889 0.231
Se: 0.733 0.733 0.755
Se: 0.889 0.579 0.231

***

(6)
This record from the Alexandria database describes crystalline NaPu2Te4Pb at its relaxed geometry. The functional is PBE.

Electronic total energy: -6.67 eV/atom
Spin magnetization: 11.00 μB per cell
Theoretical density: 7.641 Mg/m³
Symmetry: No. 10

a = 7.844 Å, b = 4.527 Å, c = 7.953 Å
α = 90.00°, β = 109.05°, γ = 90.00°
Fractional coordinates of all 8 atoms:
Na: 0.000 0.000 0.000
Pu: 0.000 0.500 0.500
Pu: 0.500 0.000 0.500
Te: 0.244 0.000 0.737
Te: 0.254 0.500 0.264
Te: 0.746 0.500 0.736
Te: 0.756 0.000 0.263
Pb: 0.500 0.500 0.000

***

(7)
This record from the Alexandria database describes crystalline NaPu2Te6Pb3 at its relaxed geometry. The functional is PBE.

Electronic total energy: -5.69 eV/atom
Spin magnetization: 11.00 μB per cell
Theoretical density: 7.701 Mg/m³
Symmetry: No. 12

a = 10.283 Å, b = 10.283 Å, c = 9.212 Å
α = 103.61°, β = 103.61°, γ = 25.66°
Fractional coordinates of all 12 atoms:
Na: 0.000 0.000 0.000
Pu: 0.335 0.335 0.671
Pu: 0.665 0.665 0.329
Te: 0.169 0.169 0.093
Te: 0.171 0.171 0.573
Te: 0.496 0.496 0.750
Te: 0.504 0.504 0.250
Te: 0.829 0.829 0.427
Te: 0.831 0.831 0.907
Pb: 0.000 0.000 0.500
Pb: 0.337 0.337 0.166
Pb: 0.663 0.663 0.834

***

(8)
This record from the Alexandria database describes crystalline Na2PuTe4Pb at its relaxed geometry. The functional is PBE.

Electronic total energy: -4.93 eV/atom
Spin magnetization: 3.99 μB per cell
Theoretical density: 6.235 Mg/m³
Symmetry: No. 10

a = 7.893 Å, b = 4.543 Å, c = 7.933 Å
α = 90.00°, β = 109.35°, γ = 90.00°
Fractional coordinates of all 8 atoms:
Na: 0.000 0.000 0.000
Na: 0.000 0.500 0.500
Pu: 0.500 0.000 0.500
Te: 0.262 0.000 0.736
Te: 0.268 0.500 0.268
Te: 0.732 0.500 0.732
Te: 0.738 0.000 0.264
Pb: 0.500 0.500 0.000

***

(9)
This record from the Alexandria database describes crystalline NaPuTlPb at its relaxed geometry. The functional is PBE.

Spin magnetization: 6.03 μB per cell
Theoretical density: 10.085 Mg/m³
Distance to the lowest polymorph of the same formula: 0.000 eV per atom
Symmetry: No. 99
Calculated formation energy: -89.7 meV/atom

a = 3.429 Å, b = 3.429 Å, c = 9.501 Å
α = 90.00°, β = 90.00°, γ = 90.00°
Fractional coordinates of all 4 atoms:
Na: 0.000 0.000 0.000
Pu: 0.000 0.000 0.495
Tl: 0.500 0.500 0.248
Pb: 0.500 0.500 0.749

***

(10)
This record from the Alexandria database describes crystalline NaPuTlPb at its relaxed geometry. The functional is PBE.

Spin magnetization: 5.91 μB per cell
Theoretical density: 9.943 Mg/m³
Distance to the lowest polymorph of the same formula: 0.004 eV per atom
Symmetry: No. 216
Calculated formation energy: -85.9 meV/atom

a = 5.432 Å, b = 5.432 Å, c = 5.432 Å
α = 60.00°, β = 60.00°, γ = 60.00°
Fractional coordinates of all 4 atoms:
Na: 0.000 0.000 0.000
Pu: 0.500 0.500 0.500
Tl: 0.250 0.250 0.250
Pb: 0.750 0.750 0.750

***

Which of these has the highest theoretical density?
number 9